1.
# NiRhW2 (PBE, optimized geometry)
# Energy of formation: 0.3823 eV per atom
# Energy relative to the lowest polymorph listed for this composition: 436 meV per atom
# Crystal system: cubic
# Density of states at the Fermi level: 23.2 states/eV per cell
data_NiRhW2
_cell_length_a 6.158
_cell_length_b 6.158
_cell_length_c 6.158
_cell_angle_alpha 90.00
_cell_angle_beta 90.00
_cell_angle_gamma 90.00
_symmetry_space_group_name_H-M 'F m -3 m'
_symmetry_Int_Tables_number 225
_symmetry_space_group_name_Hall '-F 4 2 3'
loop_
_atom_site_label
_atom_site_type_symbol
_atom_site_fract_x
_atom_site_fract_y
_atom_site_fract_z
Ni1 Ni 0.000 0.000 0.000
Rh1 Rh 0.000 0.000 0.500
W1 W 0.250 0.250 0.250


2.
# NiRh2W (PBE, optimized geometry)
# Energy of formation: -0.1289 eV per atom
# Energy relative to the lowest polymorph listed for this composition: 107 meV per atom
# Crystal system: tetragonal
# Density of states at the Fermi level: 10.4 states/eV per cell
data_NiRh2W
_cell_length_a 3.777
_cell_length_b 3.777
_cell_length_c 7.741
_cell_angle_alpha 90.00
_cell_angle_beta 90.00
_cell_angle_gamma 90.00
_symmetry_space_group_name_H-M 'I -4 m 2'
_symmetry_Int_Tables_number 119
_symmetry_space_group_name_Hall 'I -4 -2'
loop_
_atom_site_label
_atom_site_type_symbol
_atom_site_fract_x
_atom_site_fract_y
_atom_site_fract_z
Ni1 Ni 0.000 0.000 0.000
Rh1 Rh 0.000 0.000 0.500
Rh2 Rh 0.000 0.500 0.250
W1 W 0.000 0.500 0.750


Repeat the first record exactly.
# NiRhW2 (PBE, optimized geometry)
# Energy of formation: 0.3823 eV per atom
# Energy relative to the lowest polymorph listed for this composition: 436 meV per atom
# Crystal system: cubic
# Density of states at the Fermi level: 23.2 states/eV per cell
data_NiRhW2
_cell_length_a 6.158
_cell_length_b 6.158
_cell_length_c 6.158
_cell_angle_alpha 90.00
_cell_angle_beta 90.00
_cell_angle_gamma 90.00
_symmetry_space_group_name_H-M 'F m -3 m'
_symmetry_Int_Tables_number 225
_symmetry_space_group_name_Hall '-F 4 2 3'
loop_
_atom_site_label
_atom_site_type_symbol
_atom_site_fract_x
_atom_site_fract_y
_atom_site_fract_z
Ni1 Ni 0.000 0.000 0.000
Rh1 Rh 0.000 0.000 0.500
W1 W 0.250 0.250 0.250


> Number 1 is which compound?

NiRhW2


Repeat the first record exactly.
# NiRhW2 (PBE, optimized geometry)
# Energy of formation: 0.3823 eV per atom
# Energy relative to the lowest polymorph listed for this composition: 436 meV per atom
# Crystal system: cubic
# Density of states at the Fermi level: 23.2 states/eV per cell
data_NiRhW2
_cell_length_a 6.158
_cell_length_b 6.158
_cell_length_c 6.158
_cell_angle_alpha 90.00
_cell_angle_beta 90.00
_cell_angle_gamma 90.00
_symmetry_space_group_name_H-M 'F m -3 m'
_symmetry_Int_Tables_number 225
_symmetry_space_group_name_Hall '-F 4 2 3'
loop_
_atom_site_label
_atom_site_type_symbol
_atom_site_fract_x
_atom_site_fract_y
_atom_site_fract_z
Ni1 Ni 0.000 0.000 0.000
Rh1 Rh 0.000 0.000 0.500
W1 W 0.250 0.250 0.250